(1)
Material: K2Li2PdF6
Method: DFT, PBE
State: relaxed

Values from the calculation:
- ΔE_f (raw) (eV/atom) = -2.33
- E_tot (eV per atom) = -4.37
- size of the total moment (μB per formula unit) = 2.00

Lattice parameters (Å, degrees): 5.5075 5.5075 6.0963 90.00 90.00 120.00
With the nearest neighbours (Å) after each atom.
Positions (direct):
K 0.6667 0.3333 0.5001  6 F 2.63
K 0.3333 0.6667 0.4999  6 F 2.63
Li 0.3333 0.6667 0.9999  6 F 2.12
Li 0.6667 0.3333 0.0001  6 F 2.12
Pd 0.0000 0.0000 0.0000  6 F 2.23
F 0.0001 0.3485 0.8145  2 Li 2.12, 1 Pd 2.23
F 0.6515 0.6515 0.8145  2 Li 2.12, 1 Pd 2.23
F 0.3485 0.9999 0.8145  2 Li 2.12, 1 Pd 2.23
F 0.9999 0.6515 0.1855  2 Li 2.12, 1 Pd 2.23
F 0.3485 0.3485 0.1855  2 Li 2.12, 1 Pd 2.23
F 0.6515 0.0001 0.1855  2 Li 2.12, 1 Pd 2.23


(2)
Material: Y2ThRuN4
Method: DFT, PBE
State: relaxed

Values from the calculation:
- ΔE_f (raw) (eV/atom) = -1.10
- E_tot (eV per atom) = -8.96
- size of the total moment (μB per formula unit) = 0.00

Lattice parameters (Å, degrees): 3.4346 6.1155 11.5667 90.00 90.00 106.31
With the nearest neighbours (Å) after each atom.
Positions (direct):
Y 0.3699 0.7398 0.5482  6 N 2.35-2.59
Y 0.6301 0.2602 0.0482  6 N 2.35-2.59
Y 0.6301 0.2602 0.4518  6 N 2.35-2.59
Y 0.3699 0.7398 0.9518  6 N 2.35-2.59
Th 0.1140 0.2281 0.7500  6 N 2.53-2.57
Th 0.8860 0.7719 0.2500  6 N 2.53-2.57
Ru 0.8555 0.7110 0.7500  4 N 2.06-2.08
Ru 0.1445 0.2890 0.2500  4 N 2.06-2.08
N 0.2738 0.5476 0.1301  1 Ru 2.06
N 0.7262 0.4524 0.6301  1 Ru 2.06
N 0.7262 0.4524 0.8699  1 Ru 2.06
N 0.2738 0.5476 0.3699  1 Ru 2.06
N 0.0000 0.0000 0.5000  4 Y 2.36
N 0.0000 0.0000 0.0000  4 Y 2.36
N 0.4561 0.9122 0.7500  2 Ru 2.08
N 0.5439 0.0878 0.2500  2 Ru 2.08


(3)
Material: MgIrRh2
Method: DFT, PBE
State: relaxed

Values from the calculation:
- E_tot (eV per atom) = -6.54
- size of the total moment (μB per formula unit) = 0.00

Lattice parameters (Å, degrees): 4.7141 4.7141 2.7738 90.00 90.00 108.53
With the nearest neighbours (Å) after each atom.
Positions (direct):
Mg 0.0000 0.5000 0.5000  8 Rh 2.73, 2 Ir 2.75, 2 Mg 2.77
Ir 0.5000 0.0000 0.5000  8 Rh 2.73, 2 Mg 2.75, 2 Ir 2.77
Rh 0.0000 0.0000 0.0000  4 Mg 2.73, 4 Ir 2.73, 4 Rh 2.75-2.77
Rh 0.5000 0.5000 0.0000  4 Ir 2.73, 4 Mg 2.73, 4 Rh 2.75-2.77


(4)
Material: RbLa2TaAl
Method: DFT, PBE
State: relaxed

Values from the calculation:
- E_tot (eV per atom) = -4.24
- size of the total moment (μB per formula unit) = 0.00

Lattice parameters (Å, degrees): 5.6126 6.1483 5.6126 90.00 90.00 90.00
With the nearest neighbours (Å) after each atom.
Positions (direct):
La 0.0000 0.0000 0.5000  2 Ta 2.81
La 0.5000 0.0000 0.0000  2 Ta 2.81
Al 0.5000 0.5000 0.5000  4 Rb 3.97, 8 La 4.16
Rb 0.0000 0.5000 0.0000  2 Ta 3.07
Ta 0.0000 0.0000 0.0000  4 La 2.81, 2 Rb 3.07


(5)
Material: RbPmSb2Au2
Method: DFT, PBE
State: relaxed

Values from the calculation:
- ΔE_f (raw) (eV/atom) = -0.72
- E_tot (eV per atom) = -4.14
- size of the total moment (μB per formula unit) = 0.00

Lattice parameters (Å, degrees): 4.7021 4.7021 9.6160 90.00 90.00 120.00
With the nearest neighbours (Å) after each atom.
Positions (direct):
Rb 0.0000 0.0000 0.0000  6 Sb 3.82, 6 Au 4.11
Pm 0.0000 0.0000 0.5000  6 Au 3.22, 6 Sb 3.44
Sb 0.6667 0.3333 0.2795  3 Au 2.74
Sb 0.3333 0.6667 0.7205  3 Au 2.74
Au 0.6667 0.3333 0.6791  3 Sb 2.74
Au 0.3333 0.6667 0.3209  3 Sb 2.74


> E_tot of number 4 (RbLa2TaAl)?

-4.24 eV per atom